VASP calculation (PBE) on NaTb2Ge3Pt4 after structural relaxation.

Cell lengths 4.162, 4.162, 11.139 Å; angles 90.00, 90.00, 90.00 degrees
Fractional positions:
Pt: 0.000 0.000 0.000
Pt: 0.500 0.500 0.000
Pt: 0.000 0.500 0.347
Pt: 0.500 0.000 0.653
Na: 0.500 0.500 0.500
Tb: 0.500 0.000 0.238
Tb: 0.000 0.500 0.762
Ge: 0.500 0.000 0.870
Ge: 0.000 0.500 0.130
Ge: 0.000 0.000 0.500

Computed properties:
- volume (A^3/atom) = 19.30
- energy of formation (eV/f.u.) = -7.7
- DOS(E_F) (states/eV/cell) = 5.63
- total energy (eV/atom) = -5.634

VASP calculation (PBE) on NaTh2Ge3Pt4 after structural relaxation.

Cell lengths 4.331, 4.331, 10.567 Å; angles 90.00, 90.00, 90.00 degrees
Fractional positions:
Pt: 0.500 0.500 0.000
Pt: 0.000 0.500 0.356
Pt: 0.000 0.000 0.000
Pt: 0.500 0.000 0.644
Ge: 0.500 0.000 0.873
Ge: 0.000 0.000 0.500
Ge: 0.000 0.500 0.127
Th: 0.000 0.500 0.763
Th: 0.500 0.000 0.237
Na: 0.500 0.500 0.500

Computed properties:
- volume (A^3/atom) = 19.82
- energy of formation (eV/f.u.) = -7.8
- DOS(E_F) (states/eV/cell) = 4.95
- total energy (eV/atom) = -6.195

VASP calculation (PBE) on NaThGe2Pt2 after structural relaxation.

Cell lengths 4.426, 4.426, 7.008 Å; angles 90.00, 90.00, 120.00 degrees
Fractional positions:
Th: 0.000 0.000 0.000
Na: 0.000 0.000 0.500
Pt: 0.333 0.667 0.737
Pt: 0.667 0.333 0.263
Ge: 0.667 0.333 0.705
Ge: 0.333 0.667 0.295

Computed properties:
- volume (A^3/atom) = 19.82
- energy of formation (eV/f.u.) = -4.3
- DOS(E_F) (states/eV/cell) = 3.04
- total energy (eV/atom) = -5.729

VASP calculation (PBE) on Na2TiGe3Pt4 after structural relaxation.

Cell lengths 4.074, 4.074, 11.162 Å; angles 90.00, 90.00, 90.00 degrees
Fractional positions:
Na: 0.000 0.500 0.755
Na: 0.500 0.000 0.245
Pt: 0.000 0.500 0.358
Pt: 0.000 0.000 0.000
Pt: 0.500 0.000 0.642
Pt: 0.500 0.500 0.000
Ti: 0.500 0.500 0.500
Ge: 0.000 0.000 0.500
Ge: 0.000 0.500 0.138
Ge: 0.500 0.000 0.862

Computed properties:
- volume (A^3/atom) = 18.53
- energy of formation (eV/f.u.) = -5.5
- DOS(E_F) (states/eV/cell) = 6.65
- total energy (eV/atom) = -5.403

VASP calculation (PBE) on Na2TlGePt after structural relaxation.

Cell lengths 5.536, 5.536, 4.681 Å; angles 90.00, 90.00, 90.00 degrees
Fractional positions:
Na: 0.000 0.500 0.000
Na: 0.500 0.000 0.000
Pt: 0.000 0.000 0.000
Ge: 0.000 0.000 0.500
Tl: 0.500 0.500 0.500

Computed properties:
- volume (A^3/atom) = 28.69
- energy of formation (eV/f.u.) = -0.7
- DOS(E_F) (states/eV/cell) = 2.80
- total energy (eV/atom) = -3.264
- ΔE to the lowest computed polymorph (eV per atom) = 0.000

VASP calculation (PBE) on Na2TlGePt after structural relaxation.

Cell lengths 5.494, 5.088, 5.494 Å; angles 90.00, 90.00, 90.00 degrees
Fractional positions:
Tl: 0.000 0.000 0.000
Pt: 0.000 0.500 0.000
Ge: 0.500 0.500 0.500
Na: 0.500 0.000 0.000
Na: 0.000 0.000 0.500

Computed properties:
- volume (A^3/atom) = 30.71
- energy of formation (eV/f.u.) = 2.9
- DOS(E_F) (states/eV/cell) = 3.01
- total energy (eV/atom) = -2.548
- ΔE to the lowest computed polymorph (eV per atom) = 0.716

VASP calculation (PBE) on NaYGePt after structural relaxation.

Cell lengths 4.752, 4.752, 4.752 Å; angles 60.00, 60.00, 60.00 degrees
Fractional positions:
Pt: 0.250 0.250 0.250
Ge: 0.000 0.000 0.000
Na: 0.750 0.750 0.750
Y: 0.500 0.500 0.500

Computed properties:
- volume (A^3/atom) = 18.96
- energy of formation (eV/f.u.) = -2.4
- DOS(E_F) (states/eV/cell) = 0.20
- total energy (eV/atom) = -5.212

VASP calculation (PBE) on Na2ZnGe3Pt4 after structural relaxation.

Cell lengths 4.129, 4.129, 10.903 Å; angles 90.00, 90.00, 90.00 degrees
Fractional positions:
Ge: 0.500 0.000 0.864
Ge: 0.000 0.000 0.500
Ge: 0.000 0.500 0.136
Pt: 0.500 0.000 0.639
Pt: 0.000 0.500 0.361
Pt: 0.500 0.500 0.000
Pt: 0.000 0.000 0.000
Na: 0.000 0.500 0.748
Na: 0.500 0.000 0.252
Zn: 0.500 0.500 0.500

Computed properties:
- volume (A^3/atom) = 18.58
- energy of formation (eV/f.u.) = -4.9
- DOS(E_F) (states/eV/cell) = 4.01
- total energy (eV/atom) = -4.685